Entry 1:
Density functional theory data (PBE-GGA) for a relaxed TlGeAu3O4 crystal.

Geometry as CIF:
```
data_TlGeAu3O4
_chemical_formula_sum 'Tl1 Ge1 Au3 O4'
_cell_length_a 5.338
_cell_length_b 5.338
_cell_length_c 5.338
_cell_angle_alpha 90.00
_cell_angle_beta 90.00
_cell_angle_gamma 90.00
_symmetry_space_group_name_H-M 'P -4 3 m'
_symmetry_Int_Tables_number 215
_symmetry_space_group_name_Hall 'P -4 2 3'
loop_
_atom_site_label
_atom_site_type_symbol
_atom_site_fract_x
_atom_site_fract_y
_atom_site_fract_z
Tl1 Tl 0.000 0.000 0.000
Ge1 Ge 0.500 0.500 0.500
Au1 Au 0.000 0.500 0.500
O1 O 0.237 0.237 0.237
```

=====

Entry 2:
Density functional theory data (PBE-GGA) for a relaxed TmGeAuO3 crystal.

Geometry as CIF:
```
data_TmGeAuO3
_chemical_formula_sum 'Tm4 Ge4 Au4 O12'
_cell_length_a 4.111
_cell_length_b 12.633
_cell_length_c 7.317
_cell_angle_alpha 90.00
_cell_angle_beta 90.00
_cell_angle_gamma 90.00
_symmetry_space_group_name_H-M 'C m c m'
_symmetry_Int_Tables_number 63
_symmetry_space_group_name_Hall '-C 2c 2'
loop_
_atom_site_label
_atom_site_type_symbol
_atom_site_fract_x
_atom_site_fract_y
_atom_site_fract_z
Tm1 Tm 0.000 0.000 0.000
Ge1 Ge 0.000 0.246 0.250
Au1 Au 0.000 0.416 0.750
O1 O 0.000 0.171 0.049
O2 O 0.000 0.381 0.250
```

=====

Entry 3:
Density functional theory data (PBE-GGA) for a relaxed Ge5Os3Au crystal.

Geometry as CIF:
```
data_Ge5Os3Au
_chemical_formula_sum 'Ge5 Os3 Au1'
_cell_length_a 5.2568
_cell_length_b 5.2568
_cell_length_c 7.0674
_cell_angle_alpha 90.00
_cell_angle_beta 90.00
_cell_angle_gamma 120.00
_symmetry_space_group_name_H-M 'P 6/m m m'
_symmetry_Int_Tables_number 191
_symmetry_space_group_name_Hall '-P 6 2'
loop_
_atom_site_label
_atom_site_type_symbol
_atom_site_fract_x
_atom_site_fract_y
_atom_site_fract_z
Ge1 Ge 0.0000 0.0000 0.0000
Ge2 Ge 0.3333 0.6667 0.3059
Os1 Os 0.0000 0.5000 0.0000
Au1 Au 0.0000 0.0000 0.5000
```

=====

| no. | calculated total energy (eV per atom) |
| --- | --- |
| 1 | -3.957 |
| 2 | -5.791 |
| 3 | -6.237 |